Crystalline Pr3Ho5Th2 at its relaxed geometry. Source: Alexandria, functional PBE.

Summary:
* space-group type: C2/c, No. 15
* ΔE_f: 2.1 eV/f.u.
* magnetic moment: 0.0 μB/f.u.

Cell and atoms, written as POSCAR:
```
Pr3Ho5Th2
1.0
5.404 -8.662 0.000
5.404 8.662 0.000
-5.386 0.000 7.179
Pr Ho Th
6 10 4
Cartesian
1.361 2.127 0.278
1.365 4.786 5.384
-1.332 -2.127 3.868
6.755 2.127 3.311
4.058 -4.786 1.795
4.061 -2.127 6.900
1.365 8.128 5.384
-1.350 1.948 5.399
4.058 3.824 1.795
1.343 -1.948 1.810
4.058 0.576 1.795
1.365 -0.576 5.384
4.080 1.948 5.369
1.365 -3.824 5.384
6.773 -1.948 1.780
4.058 -8.128 1.795
1.365 2.076 3.412
-1.328 -2.076 7.001
6.750 2.076 0.178
4.057 -2.076 3.767
```